# 1
Material: TmLuCu
Method: DFT, PBE
State: relaxed

a b c (Å): 4.7142 4.7142 4.7142
angles (deg): 60.00 60.00 60.00
Last column: nearest neighbours and their distance in Å.
Sites, in units of the cell vectors:
Tm1 0.7500 0.7500 0.7500  4 Lu 2.89
Cu1 0.2500 0.2500 0.2500  4 Lu 2.89
Lu1 0.0000 0.0000 0.0000  4 Tm 2.89, 4 Cu 2.89

Computed properties:
SG   F-43m
ΔE_f   0.75 eV/atom

=====

# 2
Material: Ho3Te5Os
Method: DFT, PBE
State: relaxed

a b c (Å): 8.6518 8.6518 3.7830
angles (deg): 90.00 90.00 120.00
Last column: nearest neighbours and their distance in Å.
Sites, in units of the cell vectors:
Te1 0.7735 0.7735 0.5000  2 Os 2.72
Ho1 0.6463 0.0000 0.0000  1 Os 3.06, 8 Te 3.28-3.38
Te2 0.0000 0.2265 0.5000  2 Os 2.72
Ho2 0.3537 0.3537 0.0000  1 Os 3.06, 8 Te 3.28-3.38
Os1 0.0000 0.0000 0.0000  6 Te 2.72
Te3 0.2265 0.0000 0.5000  2 Os 2.72
Te4 0.3333 0.6667 0.5000  6 Ho 3.38, 5 Te 3.44-3.78
Te5 0.6667 0.3333 0.5000  6 Ho 3.38, 5 Te 3.44-3.78
Ho3 0.0000 0.6463 0.0000  1 Os 3.06, 8 Te 3.28-3.38

Computed properties:
SG   P-62m

=====

# 3
Material: MgNiAgPb
Method: DFT, PBE
State: relaxed

a b c (Å): 4.6975 4.6975 4.6975
angles (deg): 60.00 60.00 60.00
Last column: nearest neighbours and their distance in Å.
Sites, in units of the cell vectors:
Ag1 0.5000 0.5000 0.5000  4 Mg 2.88, 4 Ni 2.88
Mg1 0.2500 0.2500 0.2500  4 Ag 2.88, 4 Pb 2.88
Ni1 0.7500 0.7500 0.7500  4 Pb 2.88, 4 Ag 2.88
Pb1 0.0000 0.0000 0.0000  4 Mg 2.88, 4 Ni 2.88

Computed properties:
SG   F-43m

=====

Number 1: density 9.13 g cm⁻³, total DFT energy (no corrections) -3.492 eV per atom. Number 2: density 8.96 g cm⁻³, total DFT energy (no corrections) -5.198 eV per atom. Number 3: density 9.02 g cm⁻³, total DFT energy (no corrections) -3.337 eV per atom.